[1]
Below is a geometry-optimized BiSbHI2 structure, with properties calculated at the PBEsol level.

## Properties
total DFT energy (no corrections): -14.12 eV for the cell shown

a b c (Å): 3.936 5.637 5.637
angles (deg): 90.00 90.00 90.00
Element x y z (fractional)
H  0.000  0.000  0.000
Sb  0.500  0.000  0.000
I  0.000  0.500  0.000
I  0.000  0.000  0.500
Bi  0.500  0.500  0.500

=====

[2]
Below is a geometry-optimized Nd5Co2 structure, with properties calculated at the PBEsol level.

## Properties
ΔH_f (0 K): -62 meV/atom

a b c (Å): 6.369 6.943 8.782
angles (deg): 95.86 111.26 90.00
Element x y z (fractional)
Nd  0.012  0.585  0.811
Nd  0.645  0.319  0.428
Co  0.185  0.925  0.781
Nd  0.800  0.085  0.811
Nd  0.783  0.819  0.428
Nd  0.217  0.181  0.572
Nd  0.355  0.681  0.572
Nd  0.200  0.915  0.189
Co  0.815  0.075  0.219
Nd  0.570  0.750  0.000
Nd  0.988  0.415  0.189
Co  0.404  0.575  0.219
Co  0.596  0.425  0.781
Nd  0.430  0.250  0.000

=====

[3]
Below is a geometry-optimized P2PdCO structure, with properties calculated at the PBEsol level.

## Properties
energy relative to the elements, uncorrected: 0.7048 eV per atom

a b c (Å): 3.052 4.253 4.253
angles (deg): 90.00 90.00 90.00
Element x y z (fractional)
P  0.000  0.500  0.000
Pd  0.500  0.500  0.500
O  0.500  0.000  0.000
C  0.000  0.000  0.000
P  0.000  0.000  0.500

=====

[4]
Below is a geometry-optimized KYRu2 structure, with properties calculated at the PBEsol level.

## Properties
polymorph energy (0 for the lowest one): 0 meV/atom
ΔH_f (0 K): 488 meV/atom

a b c (Å): 3.347 3.347 8.977
angles (deg): 90.00 90.00 90.00
Element x y z (fractional)
Y  0.000  0.000  0.395
K  0.500  0.500  0.811
Ru  0.500  0.500  0.194
Ru  0.000  0.000  0.100